(1)
VASP calculation (PBE-GGA) on an optimized crystal structure of CeSi3Os2.

Geometry as CIF:
```
data_CeSi3Os2
_cell_length_a 9.467
_cell_length_b 7.545
_cell_length_c 5.620
_cell_angle_alpha 90.00
_cell_angle_beta 90.00
_cell_angle_gamma 90.00
_symmetry_space_group_name_H-M 'C m c m'
_symmetry_Int_Tables_number 63
_symmetry_space_group_name_Hall '-C 2c 2'
loop_
_atom_site_label
_atom_site_type_symbol
_atom_site_fract_x
_atom_site_fract_y
_atom_site_fract_z
Ce1 Ce 0.000 0.161 0.250
Si1 Si 0.000 0.445 0.750
Si2 Si 0.175 0.215 0.750
Os1 Os 0.207 0.500 0.000
```

Calculated density = 10.0 g/cm³
Formation energy without anion corrections = -0.492 eV per atom
E = -7.9362 eV per atom
DOS at the Fermi energy = 24.63 states/eV/cell

(2)
VASP calculation (PBE-GGA) on an optimized crystal structure of Ce2SiOs.

Geometry as CIF:
```
data_Ce2SiOs
_cell_length_a 4.388
_cell_length_b 4.388
_cell_length_c 4.164
_cell_angle_alpha 90.00
_cell_angle_beta 90.00
_cell_angle_gamma 90.00
_symmetry_space_group_name_H-M 'P 4/m m m'
_symmetry_Int_Tables_number 123
_symmetry_space_group_name_Hall '-P 4 2'
loop_
_atom_site_label
_atom_site_type_symbol
_atom_site_fract_x
_atom_site_fract_y
_atom_site_fract_z
Ce1 Ce 0.000 0.500 0.000
Si1 Si 0.000 0.000 0.500
Os1 Os 0.500 0.500 0.500
```

Calculated density = 10.3 g/cm³
Formation energy without anion corrections = -0.344 eV per atom
E = -7.4738 eV per atom
DOS at the Fermi energy = 4.52 states/eV/cell

(3)
VASP calculation (PBE-GGA) on an optimized crystal structure of Ce7Si2Os2.

Geometry as CIF:
```
data_Ce7Si2Os2
_cell_length_a 7.940
_cell_length_b 10.642
_cell_length_c 6.593
_cell_angle_alpha 90.00
_cell_angle_beta 90.00
_cell_angle_gamma 90.00
_symmetry_space_group_name_H-M 'C m m m'
_symmetry_Int_Tables_number 65
_symmetry_space_group_name_Hall '-C 2 2'
loop_
_atom_site_label
_atom_site_type_symbol
_atom_site_fract_x
_atom_site_fract_y
_atom_site_fract_z
Ce1 Ce 0.000 0.000 0.000
Ce2 Ce 0.000 0.500 0.288
Ce3 Ce 0.250 0.250 0.282
Si1 Si 0.152 0.000 0.500
Os1 Os 0.000 0.289 0.000
```

Calculated density = 8.5 g/cm³
Formation energy without anion corrections = -0.220 eV per atom
E = -7.0243 eV per atom
DOS at the Fermi energy = 51.62 states/eV/cell

(4)
VASP calculation (PBE-GGA) on an optimized crystal structure of Ce3Si3Os.

Geometry as CIF:
```
data_Ce3Si3Os
_cell_length_a 9.5772
_cell_length_b 9.5772
_cell_length_c 5.8849
_cell_angle_alpha 90.00
_cell_angle_beta 90.00
_cell_angle_gamma 120.00
_symmetry_space_group_name_H-M 'R 3 m'
_symmetry_Int_Tables_number 160
_symmetry_space_group_name_Hall 'R 3 -2"'
loop_
_atom_site_label
_atom_site_type_symbol
_atom_site_fract_x
_atom_site_fract_y
_atom_site_fract_z
Ce1 Ce 0.2065 0.4129 0.0000
Si1 Si 0.1968 0.3937 0.4957
Os1 Os 0.0000 0.0000 0.6994
```

Calculated density = 7.4 g/cm³
Formation energy without anion corrections = -0.290 eV per atom
E = -6.7610 eV per atom
DOS at the Fermi energy = 37.32 states/eV/cell

(5)
VASP calculation (PBE-GGA) on an optimized crystal structure of Ce5Si2Os.

Geometry as CIF:
```
data_Ce5Si2Os
_cell_length_a 5.185
_cell_length_b 9.111
_cell_length_c 15.776
_cell_angle_alpha 90.00
_cell_angle_beta 90.00
_cell_angle_gamma 90.00
_symmetry_space_group_name_H-M 'C m c m'
_symmetry_Int_Tables_number 63
_symmetry_space_group_name_Hall '-C 2c 2'
loop_
_atom_site_label
_atom_site_type_symbol
_atom_site_fract_x
_atom_site_fract_y
_atom_site_fract_z
Ce1 Ce 0.000 0.064 0.086
Ce2 Ce 0.000 0.276 0.750
Ce3 Ce 0.000 0.401 0.116
Si1 Si 0.000 0.273 0.563
Os1 Os 0.000 0.049 0.250
```

Calculated density = 8.4 g/cm³
Formation energy without anion corrections = -0.295 eV per atom
E = -6.7634 eV per atom
DOS at the Fermi energy = 81.52 states/eV/cell

(6)
VASP calculation (PBE-GGA) on an optimized crystal structure of Ce2SiOs.

Geometry as CIF:
```
data_Ce2SiOs
_cell_length_a 3.226
_cell_length_b 3.226
_cell_length_c 8.094
_cell_angle_alpha 90.00
_cell_angle_beta 90.00
_cell_angle_gamma 90.00
_symmetry_space_group_name_H-M 'P 4/m m m'
_symmetry_Int_Tables_number 123
_symmetry_space_group_name_Hall '-P 4 2'
loop_
_atom_site_label
_atom_site_type_symbol
_atom_site_fract_x
_atom_site_fract_y
_atom_site_fract_z
Ce1 Ce 0.000 0.000 0.233
Si1 Si 0.500 0.500 0.500
Os1 Os 0.500 0.500 0.000
```

Calculated density = 9.8 g/cm³
Formation energy without anion corrections = -0.304 eV per atom
E = -7.4340 eV per atom
DOS at the Fermi energy = 4.44 states/eV/cell

(7)
VASP calculation (PBE-GGA) on an optimized crystal structure of Ce4SiOs2.

Geometry as CIF:
```
data_Ce4SiOs2
_cell_length_a 12.591
_cell_length_b 12.636
_cell_length_c 8.255
_cell_angle_alpha 90.00
_cell_angle_beta 90.00
_cell_angle_gamma 90.00
_symmetry_space_group_name_H-M 'F d d 2'
_symmetry_Int_Tables_number 43
_symmetry_space_group_name_Hall 'F 2 -2d'
loop_
_atom_site_label
_atom_site_type_symbol
_atom_site_fract_x
_atom_site_fract_y
_atom_site_fract_z
Ce1 Ce 0.060 0.124 0.000
Ce2 Ce 0.124 0.439 0.864
Si1 Si 0.000 0.000 0.682
Os1 Os 0.056 0.195 0.307
```

Calculated density = 9.8 g/cm³
Formation energy without anion corrections = -0.268 eV per atom
E = -7.6416 eV per atom
DOS at the Fermi energy = 113.28 states/eV/cell

(8)
VASP calculation (PBE-GGA) on an optimized crystal structure of Ce6SiOs3.

Geometry as CIF:
```
data_Ce6SiOs3
_cell_length_a 11.213
_cell_length_b 4.119
_cell_length_c 11.683
_cell_angle_alpha 90.00
_cell_angle_beta 107.28
_cell_angle_gamma 90.00
_symmetry_space_group_name_H-M 'P 1 21/m 1'
_symmetry_Int_Tables_number 11
_symmetry_space_group_name_Hall '-P 2yb'
loop_
_atom_site_label
_atom_site_type_symbol
_atom_site_fract_x
_atom_site_fract_y
_atom_site_fract_z
Ce1 Ce 0.035 0.250 0.394
Ce2 Ce 0.107 0.250 0.942
Ce3 Ce 0.230 0.750 0.264
Ce4 Ce 0.290 0.750 0.759
Ce5 Ce 0.380 0.250 0.542
Ce6 Ce 0.413 0.750 0.096
Si1 Si 0.448 0.250 0.301
Os1 Os 0.050 0.250 0.167
Os2 Os 0.192 0.750 0.501
Os3 Os 0.344 0.250 0.917
```

Calculated density = 9.3 g/cm³
Formation energy without anion corrections = -0.201 eV per atom
E = -7.6726 eV per atom
DOS at the Fermi energy = 41.75 states/eV/cell

(9)
VASP calculation (PBE-GGA) on an optimized crystal structure of Ce8SiOs6.

Geometry as CIF:
```
data_Ce8SiOs6
_cell_length_a 9.8115
_cell_length_b 9.8115
_cell_length_c 12.6098
_cell_angle_alpha 90.00
_cell_angle_beta 90.00
_cell_angle_gamma 120.00
_symmetry_space_group_name_H-M 'R -3'
_symmetry_Int_Tables_number 148
_symmetry_space_group_name_Hall '-R 3'
loop_
_atom_site_label
_atom_site_type_symbol
_atom_site_fract_x
_atom_site_fract_y
_atom_site_fract_z
Ce1 Ce 0.0000 0.0000 0.2392
Ce2 Ce 0.0328 0.6269 0.7482
Si1 Si 0.0000 0.0000 0.0000
Os1 Os 0.0515 0.1974 0.4061
```

Calculated density = 10.9 g/cm³
Formation energy without anion corrections = -0.044 eV per atom
E = -8.0620 eV per atom
DOS at the Fermi energy = 58.50 states/eV/cell

(10)
VASP calculation (PBE-GGA) on an optimized crystal structure of Ce2SiOs.

Geometry as CIF:
```
data_Ce2SiOs
_cell_length_a 3.0188
_cell_length_b 3.0188
_cell_length_c 30.6545
_cell_angle_alpha 90.00
_cell_angle_beta 90.00
_cell_angle_gamma 120.00
_symmetry_space_group_name_H-M 'R -3 m'
_symmetry_Int_Tables_number 166
_symmetry_space_group_name_Hall '-R 3 2"'
loop_
_atom_site_label
_atom_site_type_symbol
_atom_site_fract_x
_atom_site_fract_y
_atom_site_fract_z
Ce1 Ce 0.0000 0.0000 0.0837
Si1 Si 0.0000 0.0000 0.5000
Os1 Os 0.0000 0.0000 0.0000
```

Calculated density = 10.3 g/cm³
Formation energy without anion corrections = 0.228 eV per atom
E = -6.9026 eV per atom
DOS at the Fermi energy = 12.05 states/eV/cell